# 1
DFT (PBE-GGA) results for crystalline MgZr2Se4 at its relaxed geometry.

Summary:
- VASP energy (eV/atom) = -5.959
- formation energy (no corrections) (meV per atom) = -1298
- magnetic moment (Bohr magnetons per cell) = 0.000

abc: 3.764 6.469 6.660
angles: 90.90 90.00 90.00
Fractional coordinates of all 7 atoms:
Mg (0.000, 0.000, 0.500)
Zr (0.500, 0.500, 0.000)
Zr (0.000, 0.000, 0.000)
Se (0.000, 0.667, 0.250)
Se (0.500, 0.174, 0.259)
Se (0.500, 0.826, 0.741)
Se (0.000, 0.333, 0.750)

---

# 2
DFT (PBE-GGA) results for crystalline SiSnH3 at its relaxed geometry.

Summary:
- VASP energy (eV/atom) = -3.352
- E above lowest polymorph (kJ/mol of formula units) = 0
- magnetic moment (Bohr magnetons per cell) = 0.000

abc: 3.754 3.754 3.754
angles: 90.00 90.00 90.00
Fractional coordinates of all 5 atoms:
H (0.000, 0.500, 0.000)
H (0.000, 0.000, 0.500)
H (0.500, 0.000, 0.000)
Si (0.000, 0.000, 0.000)
Sn (0.500, 0.500, 0.500)

---

# 3
DFT (PBE-GGA) results for crystalline PmPaCuSb at its relaxed geometry.

Summary:
- VASP energy (eV/atom) = -5.771
- formation energy (no corrections) (meV per atom) = -155
- magnetic moment (Bohr magnetons per cell) = 1.787

abc: 5.200 5.200 5.200
angles: 60.00 60.00 60.00
Each line ends with the local moment (μB).
Fractional coordinates of all 4 atoms:
Sb (0.250, 0.250, 0.250)  0.00
Pa (0.000, 0.000, 0.000)  1.09
Cu (0.750, 0.750, 0.750)  0.00
Pm (0.500, 0.500, 0.500)  0.22